This record from Alexandria via LeMat-Bulk describes crystalline In2CoGePb at its relaxed geometry. The functional is GGA-PBE.

Summary:
**Energy relative to the elements**: 0.51 eV/f.u.
**Crystal system**: tetragonal

```
data_In2CoGePb
_chemical_formula_sum 'In2 Co1 Ge1 Pb1'
_cell_length_a 5.116
_cell_length_b 5.116
_cell_length_c 4.473
_cell_angle_alpha 90.00
_cell_angle_beta 90.00
_cell_angle_gamma 90.00
_symmetry_space_group_name_H-M 'P 4/m m m'
_symmetry_Int_Tables_number 123
_symmetry_space_group_name_Hall '-P 4 2'
loop_
_atom_site_label
_atom_site_type_symbol
_atom_site_fract_x
_atom_site_fract_y
_atom_site_fract_z
In1 In 0.000 0.500 0.000
Co1 Co 0.000 0.000 0.000
Ge1 Ge 0.000 0.000 0.500
Pb1 Pb 0.500 0.500 0.500
```

***

This record from Alexandria via LeMat-Bulk describes crystalline RbIn2CoGe at its relaxed geometry. The functional is GGA-PBE.

Summary:
**Energy relative to the elements**: 0.29 eV/f.u.
**Crystal system**: tetragonal

```
data_RbIn2CoGe
_chemical_formula_sum 'Rb1 In2 Co1 Ge1'
_cell_length_a 5.135
_cell_length_b 5.135
_cell_length_c 4.704
_cell_angle_alpha 90.00
_cell_angle_beta 90.00
_cell_angle_gamma 90.00
_symmetry_space_group_name_H-M 'P 4/m m m'
_symmetry_Int_Tables_number 123
_symmetry_space_group_name_Hall '-P 4 2'
loop_
_atom_site_label
_atom_site_type_symbol
_atom_site_fract_x
_atom_site_fract_y
_atom_site_fract_z
Rb1 Rb 0.000 0.000 0.000
In1 In 0.000 0.500 0.500
Co1 Co 0.500 0.500 0.500
Ge1 Ge 0.500 0.500 0.000
```

***

This record from Alexandria via LeMat-Bulk describes crystalline SrIn2CoGe at its relaxed geometry. The functional is GGA-PBE.

Summary:
**Energy relative to the elements**: -0.82 eV/f.u.
**Crystal system**: tetragonal

```
data_SrIn2CoGe
_chemical_formula_sum 'Sr1 In2 Co1 Ge1'
_cell_length_a 5.044
_cell_length_b 5.044
_cell_length_c 4.642
_cell_angle_alpha 90.00
_cell_angle_beta 90.00
_cell_angle_gamma 90.00
_symmetry_space_group_name_H-M 'P 4/m m m'
_symmetry_Int_Tables_number 123
_symmetry_space_group_name_Hall '-P 4 2'
loop_
_atom_site_label
_atom_site_type_symbol
_atom_site_fract_x
_atom_site_fract_y
_atom_site_fract_z
Sr1 Sr 0.000 0.000 0.000
In1 In 0.000 0.500 0.500
Co1 Co 0.500 0.500 0.500
Ge1 Ge 0.500 0.500 0.000
```

***

This record from Alexandria via LeMat-Bulk describes crystalline InCoTcGe2 at its relaxed geometry. The functional is GGA-PBE.

Summary:
**Energy relative to the elements**: 2.95 eV/f.u.
**Crystal system**: tetragonal

```
data_InCoTcGe2
_chemical_formula_sum 'In1 Co1 Tc1 Ge2'
_cell_length_a 4.772
_cell_length_b 4.772
_cell_length_c 4.838
_cell_angle_alpha 90.00
_cell_angle_beta 90.00
_cell_angle_gamma 90.00
_symmetry_space_group_name_H-M 'P 4/m m m'
_symmetry_Int_Tables_number 123
_symmetry_space_group_name_Hall '-P 4 2'
loop_
_atom_site_label
_atom_site_type_symbol
_atom_site_fract_x
_atom_site_fract_y
_atom_site_fract_z
In1 In 0.000 0.000 0.000
Co1 Co 0.500 0.500 0.000
Tc1 Tc 0.500 0.500 0.500
Ge1 Ge 0.000 0.500 0.500
```

***

This record from Alexandria via LeMat-Bulk describes crystalline In2CoGeTe at its relaxed geometry. The functional is GGA-PBE.

Summary:
**ΔE to the lowest computed polymorph**: 0.000 eV per atom
**Formation energy (no corrections)**: -0.023 eV/atom
**Crystal system**: tetragonal

```
data_In2CoGeTe
_chemical_formula_sum 'In2 Co1 Ge1 Te1'
_cell_length_a 5.128
_cell_length_b 5.128
_cell_length_c 4.476
_cell_angle_alpha 90.00
_cell_angle_beta 90.00
_cell_angle_gamma 90.00
_symmetry_space_group_name_H-M 'P 4/m m m'
_symmetry_Int_Tables_number 123
_symmetry_space_group_name_Hall '-P 4 2'
loop_
_atom_site_label
_atom_site_type_symbol
_atom_site_fract_x
_atom_site_fract_y
_atom_site_fract_z
In1 In 0.000 0.500 0.000
Co1 Co 0.000 0.000 0.000
Ge1 Ge 0.000 0.000 0.500
Te1 Te 0.500 0.500 0.500
```

***

This record from Alexandria via LeMat-Bulk describes crystalline In2CoGeTe at its relaxed geometry. The functional is GGA-PBE.

Summary:
**ΔE to the lowest computed polymorph**: 0.424 eV per atom
**Formation energy (no corrections)**: 0.402 eV/atom
**Crystal system**: tetragonal

```
data_In2CoGeTe
_chemical_formula_sum 'In2 Co1 Ge1 Te1'
_cell_length_a 5.419
_cell_length_b 5.419
_cell_length_c 4.553
_cell_angle_alpha 90.00
_cell_angle_beta 90.00
_cell_angle_gamma 90.00
_symmetry_space_group_name_H-M 'P 4/m m m'
_symmetry_Int_Tables_number 123
_symmetry_space_group_name_Hall '-P 4 2'
loop_
_atom_site_label
_atom_site_type_symbol
_atom_site_fract_x
_atom_site_fract_y
_atom_site_fract_z
In1 In 0.000 0.500 0.000
Co1 Co 0.000 0.000 0.500
Ge1 Ge 0.000 0.000 0.000
Te1 Te 0.500 0.500 0.500
```

***

This record from Alexandria via LeMat-Bulk describes crystalline Th2InCo4Ge3 at its relaxed geometry. The functional is GGA-PBE.

Summary:
**Energy relative to the elements**: -4.79 eV/f.u.
**Crystal system**: tetragonal

```
data_Th2InCo4Ge3
_chemical_formula_sum 'Th2 In1 Co4 Ge3'
_cell_length_a 4.129
_cell_length_b 4.129
_cell_length_c 10.159
_cell_angle_alpha 90.00
_cell_angle_beta 90.00
_cell_angle_gamma 90.00
_symmetry_space_group_name_H-M 'P -4 m 2'
_symmetry_Int_Tables_number 115
loop_
_symmetry_equiv_pos_as_xyz
'x,y,z'
'y,-x,-z'
'-x,-y,z'
'-y,x,-z'
'-x,y,z'
'-y,-x,-z'
'x,-y,z'
'y,x,-z'
loop_
_atom_site_label
_atom_site_type_symbol
_atom_site_fract_x
_atom_site_fract_y
_atom_site_fract_z
Th1 Th 0.000 0.500 0.241
In1 In 0.000 0.000 0.500
Co1 Co 0.000 0.000 0.000
Co2 Co 0.000 0.500 0.649
Co3 Co 0.500 0.500 0.000
Ge1 Ge 0.000 0.500 0.879
Ge2 Ge 0.500 0.500 0.500
```

***

This record from Alexandria via LeMat-Bulk describes crystalline Co2GeIr at its relaxed geometry. The functional is GGA-PBE.

Summary:
**Energy relative to the elements**: 0.08 eV/f.u.
**Crystal system**: tetragonal

```
data_Co2GeIr
_chemical_formula_sum 'Co2 Ge1 Ir1'
_cell_length_a 2.773
_cell_length_b 2.773
_cell_length_c 6.473
_cell_angle_alpha 90.00
_cell_angle_beta 90.00
_cell_angle_gamma 90.00
_symmetry_space_group_name_H-M 'P 4/m m m'
_symmetry_Int_Tables_number 123
_symmetry_space_group_name_Hall '-P 4 2'
loop_
_atom_site_label
_atom_site_type_symbol
_atom_site_fract_x
_atom_site_fract_y
_atom_site_fract_z
Co1 Co 0.000 0.000 0.228
Ge1 Ge 0.500 0.500 0.000
Ir1 Ir 0.500 0.500 0.500
```

***

This record from Alexandria via LeMat-Bulk describes crystalline CoGeIr at its relaxed geometry. The functional is GGA-PBE.

Summary:
**Energy relative to the elements**: 0.35 eV/f.u.
**Crystal system**: tetragonal

```
data_CoGeIr
_chemical_formula_sum 'Co4 Ge4 Ir4'
_cell_length_a 2.971
_cell_length_b 2.971
_cell_length_c 19.181
_cell_angle_alpha 90.00
_cell_angle_beta 90.00
_cell_angle_gamma 90.00
_symmetry_space_group_name_H-M 'I 4/m m m'
_symmetry_Int_Tables_number 139
_symmetry_space_group_name_Hall '-I 4 2'
loop_
_atom_site_label
_atom_site_type_symbol
_atom_site_fract_x
_atom_site_fract_y
_atom_site_fract_z
Co1 Co 0.000 0.000 0.215
Ge1 Ge 0.000 0.000 0.360
Ir1 Ir 0.000 0.000 0.068
```

***

This record from Alexandria via LeMat-Bulk describes crystalline CoGeIr2 at its relaxed geometry. The functional is GGA-PBE.

Summary:
**Energy relative to the elements**: 0.19 eV/f.u.
**Crystal system**: tetragonal

```
data_CoGeIr2
_chemical_formula_sum 'Co1 Ge1 Ir2'
_cell_length_a 2.852
_cell_length_b 2.852
_cell_length_c 6.814
_cell_angle_alpha 90.00
_cell_angle_beta 90.00
_cell_angle_gamma 90.00
_symmetry_space_group_name_H-M 'P 4/m m m'
_symmetry_Int_Tables_number 123
_symmetry_space_group_name_Hall '-P 4 2'
loop_
_atom_site_label
_atom_site_type_symbol
_atom_site_fract_x
_atom_site_fract_y
_atom_site_fract_z
Co1 Co 0.000 0.000 0.000
Ge1 Ge 0.000 0.000 0.500
Ir1 Ir 0.500 0.500 0.253
```

***

This record from Alexandria via LeMat-Bulk describes crystalline Co3Ge6Ir at its relaxed geometry. The functional is GGA-PBE.

Summary:
**ΔE to the lowest computed polymorph**: 0.000 eV per atom
**Energy relative to the elements**: -1.13 eV/f.u.
**Crystal system**: monoclinic

```
data_Co3Ge6Ir
_chemical_formula_sum 'Co6 Ge12 Ir2'
_cell_length_a 9.111
_cell_length_b 3.719
_cell_length_c 9.967
_cell_angle_alpha 90.00
_cell_angle_beta 116.21
_cell_angle_gamma 90.00
_symmetry_space_group_name_H-M 'P 1 21/m 1'
_symmetry_Int_Tables_number 11
loop_
_symmetry_equiv_pos_as_xyz
'x,y,z'
'-x,-y,-z'
'-x,y+1/2,-z'
'x,-y+1/2,z'
loop_
_atom_site_label
_atom_site_type_symbol
_atom_site_fract_x
_atom_site_fract_y
_atom_site_fract_z
Co1 Co 0.059 0.250 0.140
Co2 Co 0.219 0.750 0.549
Co3 Co 0.389 0.250 0.977
Ge1 Ge 0.036 0.250 0.407
Ge2 Ge 0.122 0.250 0.937
Ge3 Ge 0.204 0.750 0.299
Ge4 Ge 0.296 0.750 0.808
Ge5 Ge 0.391 0.250 0.543
Ge6 Ge 0.428 0.750 0.132
Ir1 Ir 0.407 0.250 0.292
```

***

This record from Alexandria via LeMat-Bulk describes crystalline CoGeIr3 at its relaxed geometry. The functional is GGA-PBE.

Summary:
**ΔE to the lowest computed polymorph**: 0.000 eV per atom
**Energy relative to the elements**: 6.76 eV/f.u.
**Crystal system**: cubic

```
data_CoGeIr3
_chemical_formula_sum 'Co1 Ge1 Ir3'
_cell_length_a 4.478
_cell_length_b 4.478
_cell_length_c 4.478
_cell_angle_alpha 90.00
_cell_angle_beta 90.00
_cell_angle_gamma 90.00
_symmetry_space_group_name_H-M 'P m -3 m'
_symmetry_Int_Tables_number 221
_symmetry_space_group_name_Hall '-P 4 2 3'
loop_
_atom_site_label
_atom_site_type_symbol
_atom_site_fract_x
_atom_site_fract_y
_atom_site_fract_z
Co1 Co 0.000 0.000 0.000
Ge1 Ge 0.500 0.500 0.500
Ir1 Ir 0.000 0.000 0.500
```